Density functional theory data (GGA-PBE) for an optimized crystal structure of Mg14TiSi.

Cell: 6.3191 6.3191 9.9594 Å, 90.00 90.00 120.00°
Space group P-6m2 (No. 187)
Inequivalent atoms, fractional coordinates:
Mg1 0.0000 0.0000 0.2451 [2 per cell]
Mg2 0.0138 0.5069 0.2539 [6 per cell]
Mg3 0.3297 0.1648 0.5000 [3 per cell]
Mg4 0.3402 0.1701 0.0000 [3 per cell]
Ti1 0.3333 0.6667 0.0000 [1 per cell]
Si1 0.3333 0.6667 0.5000 [1 per cell]

Summary:
Total magnetization   0.66 μB per formula unit
Energy above the lowest structure with this stoichiometry   11 meV per atom
Energy relative to the elements, uncorrected   0.05 eV/atom
Calculated density   2.0 g/cm3